Computed, not measured: an optimized crystal structure of Na2CuPdF6 at the PBE-GGA level of DFT.

```
Na2CuPdF6
1.0
0.000 4.128 4.128
4.128 0.000 4.128
4.128 4.128 0.000
F Na Cu Pd
6 2 1 1
Direct
0.257 0.743 0.743
0.743 0.743 0.257
0.743 0.257 0.257
0.743 0.257 0.743
0.257 0.743 0.257
0.257 0.257 0.743
0.250 0.250 0.250
0.750 0.750 0.750
0.500 0.500 0.500
0.000 0.000 0.000
```

Summary:
The calculation puts the total energy at -41.67 eV/cell. Its energy above the most stable polymorph in this dataset is 0.70 eV per formula unit. Its space group is No. 225. Its magnetic moment is 0.096 μB/atom. As for the energy relative to the elements, uncorrected: -1.85 eV per atom.


Computed, not measured: an optimized crystal structure of Na2CuPdF6 at the PBE-GGA level of DFT.

```
Na2CuPdF6
1.0
5.544 0.000 -0.042
0.000 5.764 0.000
-0.011 0.000 8.041
F Pd Cu Na
12 2 2 4
Direct
0.705 0.307 0.941
0.189 0.207 0.061
0.386 0.954 0.745
0.114 0.454 0.755
0.614 0.046 0.255
0.295 0.693 0.059
0.205 0.193 0.441
0.886 0.546 0.245
0.311 0.707 0.439
0.795 0.807 0.559
0.689 0.293 0.561
0.811 0.793 0.939
0.500 0.000 0.000
0.000 0.500 0.500
0.500 0.000 0.500
0.000 0.500 0.000
0.482 0.440 0.251
0.982 0.060 0.751
0.518 0.560 0.749
0.018 0.940 0.249
```

Summary:
The calculation puts the total energy at -84.73 eV/cell. Its energy above the most stable polymorph in this dataset is 0.00 eV per formula unit. Its space group is No. 14. Its magnetic moment is 0.102 μB/atom. As for the energy relative to the elements, uncorrected: -1.92 eV per atom.


Computed, not measured: an optimized crystal structure of NaCuPd2F8 at the PBE-GGA level of DFT.

```
NaCuPd2F8
1.0
4.857 0.084 0.100
0.131 4.854 0.100
0.155 0.157 6.883
Pd Na F Cu
2 1 8 1
Direct
0.506 0.506 0.241
0.494 0.494 0.759
0.000 0.000 0.500
0.801 0.200 0.775
0.704 0.706 0.011
0.326 0.324 0.479
0.802 0.201 0.225
0.199 0.800 0.225
0.198 0.799 0.775
0.296 0.294 0.989
0.674 0.676 0.521
0.000 0.000 0.000
```

Summary:
The calculation puts the total energy at -49.48 eV/cell. Its space group is No. 2. Its magnetic moment is 0.005 μB/atom. As for the energy relative to the elements, uncorrected: -1.56 eV per atom.


Computed, not measured: an optimized crystal structure of NaPmCuF6 at the PBE-GGA level of DFT.

```
NaPmCuF6
1.0
-2.349 -4.506 -2.702
4.952 2.234 -1.900
4.783 -5.846 5.592
F Na Cu Pm
12 2 2 2
Direct
0.336 0.971 0.633
0.366 0.336 0.367
0.971 0.634 0.367
0.336 0.366 0.867
0.971 0.336 0.133
0.366 0.029 0.133
0.029 0.664 0.867
0.634 0.664 0.633
0.664 0.634 0.133
0.029 0.366 0.633
0.634 0.971 0.867
0.664 0.029 0.367
0.000 0.000 0.000
0.000 0.000 0.500
0.667 0.333 0.250
0.333 0.667 0.750
0.333 0.667 0.250
0.667 0.333 0.750
```

Summary:
The calculation puts the total energy at -94.10 eV/cell. Its space group is No. 163. Its magnetic moment is 0.111 μB/atom. As for the energy relative to the elements, uncorrected: -2.85 eV per atom.


Computed, not measured: an optimized crystal structure of Na2PmCuF6 at the PBE-GGA level of DFT.

```
Na2PmCuF6
1.0
5.903 0.000 -0.061
0.000 5.561 0.000
0.043 0.000 9.889
F Na Pm Cu
12 4 2 2
Direct
0.663 0.289 0.500
0.826 0.721 0.339
0.174 0.279 0.661
0.326 0.779 0.839
0.674 0.223 0.841
0.326 0.777 0.159
0.174 0.277 0.341
0.826 0.723 0.659
0.837 0.789 0.000
0.337 0.711 0.500
0.674 0.221 0.161
0.163 0.211 0.000
0.999 0.001 0.790
0.501 0.501 0.710
0.499 0.499 0.290
0.001 0.999 0.210
0.000 0.500 0.500
0.500 0.000 0.000
0.000 0.500 0.000
0.500 0.000 0.500
```

Summary:
The calculation puts the total energy at -103.07 eV/cell. Its space group is No. 14. Its magnetic moment is 0.008 μB/atom. As for the energy relative to the elements, uncorrected: -2.88 eV per atom.


Computed, not measured: an optimized crystal structure of Na2PrCuF8 at the PBE-GGA level of DFT.

```
Na2PrCuF8
1.0
3.933 -0.182 0.017
-0.137 5.460 -0.270
-0.006 -0.333 8.179
F Na Cu Pr
8 2 1 1
Direct
0.937 0.147 0.201
0.030 0.677 0.299
0.353 0.223 0.979
0.491 0.780 0.561
0.509 0.220 0.439
0.647 0.777 0.021
0.063 0.853 0.799
0.970 0.323 0.701
0.489 0.518 0.765
0.511 0.482 0.235
0.000 0.000 0.000
0.000 0.000 0.500
```

Summary:
The calculation puts the total energy at -59.13 eV/cell. Its space group is No. 2. Its magnetic moment is 0.013 μB/atom. As for the energy relative to the elements, uncorrected: -2.72 eV per atom.


Computed, not measured: an optimized crystal structure of NaCuPtF6 at the PBE-GGA level of DFT.

```
NaCuPtF6
1.0
5.476 0.000 0.000
-2.738 4.743 0.000
0.000 0.000 9.009
F Cu Na Pt
12 2 2 2
Direct
0.687 0.650 0.124
0.963 0.650 0.376
0.313 0.350 0.876
0.650 0.687 0.624
0.313 0.963 0.624
0.350 0.313 0.376
0.037 0.687 0.876
0.037 0.350 0.624
0.963 0.313 0.124
0.687 0.037 0.376
0.350 0.037 0.124
0.650 0.963 0.876
0.000 0.000 0.000
0.000 0.000 0.500
0.333 0.667 0.250
0.667 0.333 0.750
0.667 0.333 0.250
0.333 0.667 0.750
```

Summary:
The calculation puts the total energy at -75.30 eV/cell. Its space group is No. 163. Its magnetic moment is 0.006 μB/atom. As for the energy relative to the elements, uncorrected: -1.66 eV per atom.


Computed, not measured: an optimized crystal structure of Na2CuPtF at the PBE-GGA level of DFT.

```
Na2CuPtF
1.0
-3.399 0.379 -4.219
3.424 -0.934 -2.842
-1.103 -5.302 0.413
Na Cu F Pt
2 1 1 1
Direct
0.000 0.000 0.500
0.500 0.000 0.000
0.000 0.000 0.000
0.500 0.500 0.500
0.000 0.500 0.000
```

Summary:
The calculation puts the total energy at -15.09 eV/cell. Its space group is No. 123. Its magnetic moment is 0.110 μB/atom. As for the energy relative to the elements, uncorrected: -0.09 eV per atom.


Computed, not measured: an optimized crystal structure of NaPuCuF6 at the PBE-GGA level of DFT.

```
NaPuCuF6
1.0
-5.232 0.283 -2.466
0.585 -2.262 5.298
-1.281 8.256 3.666
F Cu Pu Na
12 2 2 2
Direct
0.316 0.983 0.624
0.316 0.333 0.876
0.017 0.684 0.876
0.333 0.316 0.376
0.983 0.667 0.376
0.667 0.684 0.624
0.333 0.017 0.124
0.983 0.316 0.124
0.684 0.667 0.124
0.667 0.983 0.876
0.017 0.333 0.624
0.684 0.017 0.376
0.000 0.000 0.000
0.000 0.000 0.500
0.333 0.667 0.750
0.667 0.333 0.250
0.333 0.667 0.250
0.667 0.333 0.750
```

Summary:
The calculation puts the total energy at -111.19 eV/cell. Its space group is No. 163. Its magnetic moment is 0.444 μB/atom. As for the energy relative to the elements, uncorrected: -2.74 eV per atom.


Computed, not measured: an optimized crystal structure of NaPuCu2F8 at the PBE-GGA level of DFT.

```
NaPuCu2F8
1.0
5.067 0.000 0.000
2.534 4.388 0.000
2.534 1.463 8.141
F Pu Na Cu
8 1 1 2
Direct
0.954 0.602 0.160
0.845 0.845 0.464
0.716 0.046 0.840
0.398 0.716 0.840
0.155 0.155 0.536
0.602 0.284 0.160
0.046 0.398 0.840
0.284 0.954 0.160
0.000 0.000 0.000
0.500 0.500 0.500
0.770 0.770 0.691
0.230 0.230 0.309
```

Summary:
The calculation puts the total energy at -66.75 eV/cell. Its space group is No. 148. Its magnetic moment is 0.250 μB/atom. As for the energy relative to the elements, uncorrected: -2.33 eV per atom.


Computed, not measured: an optimized crystal structure of Na2PuCuF8 at the PBE-GGA level of DFT.

```
Na2PuCuF8
1.0
3.954 -0.137 0.015
-0.095 5.386 -0.213
0.020 -0.268 7.916
Na Cu F Pu
2 1 8 1
Direct
0.483 0.535 0.782
0.517 0.465 0.218
0.000 0.000 0.000
0.515 0.787 0.549
0.642 0.762 0.029
0.032 0.676 0.329
0.966 0.147 0.234
0.968 0.324 0.671
0.034 0.853 0.766
0.358 0.238 0.971
0.485 0.213 0.451
0.000 0.000 0.500
```

Summary:
The calculation puts the total energy at -69.02 eV/cell. Its space group is No. 2. Its magnetic moment is 0.250 μB/atom. As for the energy relative to the elements, uncorrected: -2.75 eV per atom.


Computed, not measured: an optimized crystal structure of Rb2NaCu2F6 at the PBE-GGA level of DFT.

```
Rb2NaCu2F6
1.0
6.153 0.000 0.000
-3.076 5.542 0.033
0.000 -3.141 5.715
F Cu Rb Na
6 2 2 1
Direct
0.741 0.481 0.647
0.712 0.905 0.209
0.807 0.095 0.791
0.259 0.519 0.353
0.288 0.095 0.791
0.193 0.905 0.209
0.931 0.863 0.762
0.069 0.137 0.238
0.282 0.565 0.828
0.718 0.435 0.172
0.500 0.000 0.500
```

Summary:
The calculation puts the total energy at -45.58 eV/cell. Its space group is No. 12. Its magnetic moment is 0.091 μB/atom. As for the energy relative to the elements, uncorrected: -2.08 eV per atom.


> Which formula does entry 12 have?

Rb2NaCu2F6